The following is a DFT calculation (PBE) of NiMoPd2 after structural relaxation.

## Properties
As for the spin magnetization: 0.00 μB/f.u. For the total energy, the calculation gives -6.728 eV/atom. The calculation puts the formation energy at 0.022 eV/atom. The value obtained for the polymorph energy (0 for the lowest one) is 0.071 eV per formula unit.

Unit cell a=2.721 b=2.727 c=15.913 alpha=90.00 beta=90.00 gamma=90.00
Positions (direct):
1 Ni 0.000 0.000 0.000
2 Ni 0.000 0.500 0.500
3 Mo 0.500 0.000 0.608
4 Mo 0.500 0.500 0.108
5 Pd 0.000 0.000 0.234
6 Pd 0.000 0.500 0.734
7 Pd 0.500 0.000 0.384
8 Pd 0.500 0.500 0.884

The following is a DFT calculation (PBE) of Mg3Ni9SbP2 after structural relaxation.

## Properties
As for the spin magnetization: 0.00 μB/f.u. For the total energy, the calculation gives -4.970 eV/atom. As for the uncorrected formation energy: -187 meV/atom.

Unit cell a=5.678 b=5.678 c=8.676 alpha=90.00 beta=90.00 gamma=120.00
Positions (direct):
1 Mg 0.000 0.000 0.000
2 Mg 0.333 0.667 0.739
3 Mg 0.667 0.333 0.261
4 Ni 0.000 0.500 0.000
5 Ni 0.143 0.285 0.262
6 Ni 0.143 0.857 0.262
7 Ni 0.285 0.143 0.738
8 Ni 0.500 0.000 0.000
9 Ni 0.500 0.500 0.000
10 Ni 0.715 0.857 0.262
11 Ni 0.857 0.143 0.738
12 Ni 0.857 0.715 0.738
13 Sb 0.000 0.000 0.500
14 P 0.333 0.667 0.164
15 P 0.667 0.333 0.836

The following is a DFT calculation (PBE) of CeHo2PtN4 after structural relaxation.

## Properties
As for the spin magnetization: 0.00 μB/f.u. For the total energy, the calculation gives -7.794 eV/atom. As for the uncorrected formation energy: -990 meV/atom.

Unit cell a=6.056 b=6.056 c=11.682 alpha=90.00 beta=90.00 gamma=147.35
Positions (direct):
1 Ce 0.117 0.883 0.750
2 Ce 0.883 0.117 0.250
3 Ho 0.372 0.628 0.548
4 Ho 0.372 0.628 0.952
5 Ho 0.628 0.372 0.048
6 Ho 0.628 0.372 0.452
7 Pt 0.146 0.854 0.250
8 Pt 0.854 0.146 0.750
9 N 0.000 0.000 0.000
10 N 0.000 0.000 0.500
11 N 0.280 0.720 0.127
12 N 0.280 0.720 0.373
13 N 0.462 0.538 0.750
14 N 0.538 0.462 0.250
15 N 0.720 0.280 0.627
16 N 0.720 0.280 0.873

The following is a DFT calculation (PBE) of AcPuAs2Pd5 after structural relaxation.

## Properties
As for the spin magnetization: 4.78 μB/f.u. For the total energy, the calculation gives -6.695 eV/atom. The calculation puts the formation energy at -0.728 eV/atom.

Unit cell a=4.310 b=4.310 c=9.600 alpha=90.00 beta=90.00 gamma=90.00
Positions (direct):
1 Ac 0.000 0.000 0.000
2 Pu 0.000 0.000 0.500
3 As 0.500 0.500 0.151
4 As 0.500 0.500 0.849
5 Pd 0.000 0.500 0.289
6 Pd 0.000 0.500 0.711
7 Pd 0.500 0.000 0.289
8 Pd 0.500 0.000 0.711
9 Pd 0.500 0.500 0.500

The following is a DFT calculation (PBE) of RbSnB after structural relaxation.

## Properties
As for the spin magnetization: 0.00 μB/f.u. For the total energy, the calculation gives -3.630 eV/atom. The calculation puts the formation energy at 0.253 eV/atom.

Unit cell a=3.919 b=6.916 c=7.101 alpha=77.96 beta=82.18 gamma=89.71
Positions (direct):
1 Rb 0.057 0.304 0.296
2 Rb 0.943 0.696 0.704
3 Sn 0.432 0.196 0.783
4 Sn 0.568 0.804 0.217
5 B 0.125 0.929 0.060
6 B 0.875 0.071 0.940

The following is a DFT calculation (PBE) of Pm3AgSn3Se8 after structural relaxation.

## Properties
As for the spin magnetization: 0.00 μB/f.u. For the total energy, the calculation gives -4.812 eV/atom. As for the uncorrected formation energy: -1012 meV/atom.

Unit cell a=8.563 b=8.563 c=8.563 alpha=58.54 beta=58.54 gamma=58.54
Positions (direct):
1 Pm 0.000 0.500 0.500
2 Pm 0.500 0.000 0.500
3 Pm 0.500 0.500 0.000
4 Ag 0.000 0.000 0.000
5 Sn 0.000 0.000 0.500
6 Sn 0.000 0.500 0.000
7 Sn 0.500 0.000 0.000
8 Se 0.247 0.247 0.744
9 Se 0.247 0.744 0.247
10 Se 0.252 0.252 0.252
11 Se 0.256 0.753 0.753
12 Se 0.744 0.247 0.247
13 Se 0.748 0.748 0.748
14 Se 0.753 0.256 0.753
15 Se 0.753 0.753 0.256

The following is a DFT calculation (PBE) of Sr4Ce3PuN8 after structural relaxation.

## Properties
As for the spin magnetization: 4.06 μB/f.u. For the total energy, the calculation gives -7.735 eV/atom. As for the uncorrected formation energy: -1143 meV/atom.

Unit cell a=7.314 b=7.314 c=7.314 alpha=59.61 beta=59.61 gamma=59.61
Positions (direct):
1 Sr 0.000 0.000 0.000
2 Sr 0.000 0.500 0.500
3 Sr 0.500 0.000 0.500
4 Sr 0.500 0.500 0.000
5 Ce 0.000 0.000 0.500
6 Ce 0.000 0.500 0.000
7 Ce 0.500 0.000 0.000
8 Pu 0.500 0.500 0.500
9 N 0.235 0.235 0.235
10 N 0.243 0.731 0.731
11 N 0.269 0.269 0.757
12 N 0.269 0.757 0.269
13 N 0.731 0.243 0.731
14 N 0.731 0.731 0.243
15 N 0.757 0.269 0.269
16 N 0.765 0.765 0.765

The following is a DFT calculation (PBE) of Pm2TmTl after structural relaxation.

## Properties
As for the spin magnetization: 0.00 μB/f.u. For the total energy, the calculation gives -4.258 eV/atom. The calculation puts the formation energy at -0.173 eV/atom. The value obtained for the polymorph energy (0 for the lowest one) is 0.066 eV per formula unit.

Unit cell a=4.795 b=4.814 c=10.215 alpha=90.00 beta=90.00 gamma=90.00
Positions (direct):
1 Pm 0.000 0.000 0.248
2 Pm 0.000 0.000 0.752
3 Pm 0.500 0.500 0.252
4 Pm 0.500 0.500 0.748
5 Tm 0.000 0.500 0.000
6 Tm 0.500 0.000 0.500
7 Tl 0.000 0.500 0.500
8 Tl 0.500 0.000 0.000